No. 1
BaLi2SbI8 (PBE, optimized geometry); E_tot = -2.69 eV per atom; M_tot = 0.0 μB/f.u.; formation energy from raw total energies = -838 meV/atom
1.0
7.540 0.000 0.000
-3.770 6.530 0.000
0.000 0.000 9.785
Ba Li Sb I
1 2 1 8
direct
0.000 0.000 0.000
0.333 0.667 0.727
0.667 0.333 0.273
0.000 0.000 0.500
0.027 0.706 0.307
0.294 0.321 0.307
0.321 0.027 0.693
0.333 0.667 0.003
0.667 0.333 0.997
0.679 0.973 0.307
0.706 0.679 0.693
0.973 0.294 0.693

=====

No. 2
BaLiSmI6 (PBE, optimized geometry); E_tot = -3.44 eV per atom; M_tot = 0.0 μB/f.u.; formation energy from raw total energies = -1458 meV/atom
1.0
7.895 0.000 0.000
-3.948 6.837 0.000
0.000 0.000 15.030
Ba Li Sm I
2 2 2 12
direct
0.000 0.000 0.000
0.000 0.000 0.500
0.333 0.667 0.250
0.667 0.333 0.750
0.333 0.667 0.750
0.667 0.333 0.250
0.006 0.366 0.134
0.006 0.640 0.366
0.360 0.366 0.366
0.360 0.994 0.134
0.366 0.006 0.634
0.366 0.360 0.866
0.634 0.640 0.134
0.634 0.994 0.366
0.640 0.006 0.866
0.640 0.634 0.634
0.994 0.360 0.634
0.994 0.634 0.866

=====

No. 3
BaLi2SnI8 (PBE, optimized geometry); E_tot = -2.72 eV per atom; M_tot = 0.0 μB/f.u.; formation energy from raw total energies = -878 meV/atom
1.0
7.464 0.000 0.000
-3.732 6.464 0.000
0.000 0.000 9.791
Ba Li Sn I
1 2 1 8
direct
0.000 0.000 0.000
0.333 0.667 0.728
0.667 0.333 0.272
0.000 0.000 0.500
0.032 0.710 0.314
0.290 0.322 0.314
0.322 0.032 0.686
0.333 0.667 0.001
0.667 0.333 0.999
0.678 0.968 0.314
0.710 0.678 0.686
0.968 0.290 0.686